This record from Alexandria via LeMat-Bulk describes a geometry-optimized MgBeSi2 structure. The functional is PBE.

a b c (Å): 4.6465 4.6465 2.8592
angles (deg): 90.53 90.53 109.68
Fractional positions:
Mg1 0.0000 0.0000 0.0000
Be1 0.5000 0.5000 0.0000
Si1 0.0000 0.5000 0.5000
Si2 0.5000 0.0000 0.5000

V: 14.5 Å³/atom
formation energy (no corrections): 373 meV/atom
space-group type: C2/m, No. 12
polymorph energy (0 for the lowest one): 272 meV/atom
total magnetic moment: 0.0 μB per formula unit

***

This record from Alexandria via LeMat-Bulk describes a geometry-optimized LiAlCr structure. The functional is PBE.

a b c (Å): 6.8101 6.7023 2.5534
angles (deg): 81.49 76.74 21.77
Fractional positions:
Li1 0.0000 0.0000 0.0000
Al1 0.3256 0.3256 0.6744
Cr1 0.6723 0.6723 0.3277

V: 13.8 Å³/atom
energy relative to the elements: 0.187 eV per atom
space-group type: Fmm2, No. 42
polymorph energy (0 for the lowest one): 24 meV/atom
total magnetic moment: 0.0 μB per formula unit

***

This record from Alexandria via LeMat-Bulk describes a geometry-optimized YSbW2 structure. The functional is PBE.

a b c (Å): 4.1484 4.1484 4.5866
angles (deg): 90.00 90.00 90.00
Fractional positions:
Y1 0.0000 0.0000 0.0000
Sb1 0.5000 0.5000 0.0000
W1 0.0000 0.5000 0.5000
W2 0.5000 0.0000 0.5000

V: 19.7 Å³/atom
formation energy (no corrections): 440 meV/atom
space-group type: P4/mmm, No. 123
total magnetic moment: 0.0 μB per formula unit

***

This record from Alexandria via LeMat-Bulk describes a geometry-optimized KAcTl structure. The functional is PBE.

a b c (Å): 4.1725 4.1725 14.8535
angles (deg): 90.15 90.15 90.00
Fractional positions:
K1 0.2463 0.2463 0.1277
K2 0.7537 0.7537 0.8723
Ac1 0.2491 0.2491 0.4113
Ac2 0.7509 0.7509 0.5887
Tl1 0.2523 0.2523 0.7201
Tl2 0.7477 0.7477 0.2799

V: 43.1 Å³/atom
energy relative to the elements: -0.131 eV per atom
space-group type: C2/m, No. 12
polymorph energy (0 for the lowest one): 0 meV/atom
total magnetic moment: 0.0 μB per formula unit

***

This record from Alexandria via LeMat-Bulk describes a geometry-optimized PuNbMoOs structure. The functional is PBE.

a b c (Å): 4.6461 4.6461 4.6461
angles (deg): 60.00 60.00 60.00
Fractional positions:
Pu1 0.0000 0.0000 0.0000
Nb1 0.5000 0.5000 0.5000
Mo1 0.7500 0.7500 0.7500
Os1 0.2500 0.2500 0.2500

V: 17.7 Å³/atom
energy relative to the elements: 0.037 eV per atom
space-group type: F-43m, No. 216
total magnetic moment: 4.0 μB per formula unit

***

This record from Alexandria via LeMat-Bulk describes a geometry-optimized AlCo2Si structure. The functional is PBE.

a b c (Å): 4.4987 4.4987 4.0401
angles (deg): 104.89 104.89 35.21
Fractional positions:
Al1 0.0000 0.0000 0.0000
Co1 0.2571 0.2571 0.8755
Co2 0.4915 0.4915 0.4915
Si1 0.7584 0.7584 0.3822

V: 11.4 Å³/atom
formation energy (no corrections): -497 meV/atom
space-group type: Cm, No. 8
total magnetic moment: 0.0 μB per formula unit

***

This record from Alexandria via LeMat-Bulk describes a geometry-optimized AgRh structure. The functional is PBE.

a b c (Å): 4.1725 4.1725 4.1725
angles (deg): 60.00 60.00 60.00
Fractional positions:
Ag1 0.0000 0.0000 0.0000
Rh1 0.2500 0.2500 0.2500

V: 25.7 Å³/atom
energy relative to the elements: 1.659 eV per atom
space-group type: F-43m, No. 216
total magnetic moment: 1.2 μB per formula unit

***

This record from Alexandria via LeMat-Bulk describes a geometry-optimized Mn3ReN structure. The functional is PBE.

a b c (Å): 4.6735 4.6735 4.6735
angles (deg): 90.00 90.00 90.00
Fractional positions:
Mn1 0.0000 0.0000 0.5000
Mn2 0.0000 0.5000 0.0000
Mn3 0.5000 0.0000 0.0000
Re1 0.0000 0.0000 0.0000
N1 0.5000 0.5000 0.5000

V: 20.4 Å³/atom
formation energy (no corrections): 2238 meV/atom
space-group type: Pm-3m, No. 221
polymorph energy (0 for the lowest one): 2294 meV/atom
total magnetic moment: 7.9 μB per formula unit

***

This record from Alexandria via LeMat-Bulk describes a geometry-optimized Be4AlNi structure. The functional is PBE.

a b c (Å): 4.2634 4.2634 4.2634
angles (deg): 60.00 60.00 60.00
Fractional positions:
Be1 0.1240 0.1240 0.1240
Be2 0.1240 0.1240 0.6280
Be3 0.1240 0.6280 0.1240
Be4 0.6280 0.1240 0.1240
Al1 0.5000 0.5000 0.5000
Ni1 0.7500 0.7500 0.7500

V: 9.1 Å³/atom
energy relative to the elements: -0.305 eV per atom
space-group type: F-43m, No. 216
total magnetic moment: 0.0 μB per formula unit

***

This record from Alexandria via LeMat-Bulk describes a geometry-optimized K2TlCr structure. The functional is PBE.

a b c (Å): 6.6980 6.6980 6.6980
angles (deg): 136.67 136.67 62.95
Fractional positions:
K1 0.2500 0.7500 0.5000
K2 0.7500 0.2500 0.5000
Tl1 0.0000 0.0000 0.0000
Cr1 0.5000 0.5000 0.0000

V: 34.9 Å³/atom
energy relative to the elements: 0.592 eV per atom
space-group type: I4/mmm, No. 139
polymorph energy (0 for the lowest one): 168 meV/atom
total magnetic moment: 4.4 μB per formula unit

***

This record from Alexandria via LeMat-Bulk describes a geometry-optimized Ca3AgHg4 structure. The functional is PBE.

a b c (Å): 8.1841 8.1841 8.1841
angles (deg): 150.37 122.50 66.01
Fractional positions:
Ca1 0.0000 0.0000 0.0000
Ca2 0.3277 0.8277 0.5000
Ca3 0.6723 0.1723 0.5000
Ag1 0.5000 0.5000 0.0000
Hg1 0.0684 0.3654 0.7031
Hg2 0.3377 0.6346 0.7031
Hg3 0.6623 0.3654 0.2969
Hg4 0.9316 0.6346 0.2969

V: 28.3 Å³/atom
energy relative to the elements: -0.340 eV per atom
space-group type: Immm, No. 71
polymorph energy (0 for the lowest one): 63 meV/atom
total magnetic moment: 0.0 μB per formula unit